CdMoF2: relaxed, PBE with a Hubbard U.

Structure (extended XYZ):
```
4
Lattice="1.520 0.878 8.907 -1.520 0.878 8.907 0.000 -1.756 8.907" Properties=species:S:1:pos:R:3 pbc="T T T"
Cd 0.000 0.000 0.000
Mo 0.000 0.000 13.360
F 0.000 0.000 3.020
F 0.000 0.000 23.700
```

## Properties
SG   R-3m, No. 166
ρ   5.7 g cm⁻³
E_tot   -3.9804 eV per atom
DOS at the Fermi energy   1.1 states/eV per cell

***

CdMoF2: relaxed, PBE with a Hubbard U.

Structure (extended XYZ):
```
4
Lattice="0.000 3.187 3.187 3.187 0.000 3.187 3.187 3.187 0.000" Properties=species:S:1:pos:R:3 pbc="T T T"
Cd 0.000 0.000 0.000
Mo 3.187 3.187 3.187
F 1.594 1.594 1.594
F 4.781 4.781 4.781
```

## Properties
SG   Fm-3m, No. 225
ρ   6.3 g cm⁻³
E_tot   -3.7329 eV per atom
DOS at the Fermi energy   2.4 states/eV per cell

***

Cd3MoF: relaxed, PBE with a Hubbard U.

Structure (extended XYZ):
```
5
Lattice="5.686 0.000 0.000 0.000 5.686 0.000 0.000 0.000 5.686" Properties=species:S:1:pos:R:3 pbc="T T T"
Cd 0.000 0.000 2.843
Cd 0.000 2.843 0.000
Cd 2.843 0.000 0.000
Mo 0.000 0.000 0.000
F 2.843 2.843 2.843
```

## Properties
SG   Pm-3m, No. 221
ρ   4.1 g cm⁻³
E_tot   -1.9428 eV per atom
DOS at the Fermi energy   1.1 states/eV per cell

***

CdMoF2: relaxed, PBE with a Hubbard U.

Structure (extended XYZ):
```
8
Lattice="-2.810 2.810 6.647 2.810 -2.810 6.647 2.810 2.810 -6.647" Properties=species:S:1:pos:R:3 pbc="T T T"
Cd 0.000 0.000 0.000
Cd 0.000 2.810 3.323
Mo 2.810 0.000 3.323
Mo 0.000 0.000 6.647
F 1.405 -0.120 4.985
F 2.690 1.405 1.662
F 1.405 2.930 -1.662
F 0.120 1.405 8.309
```

## Properties
SG   I-42d, No. 122
ρ   3.9 g cm⁻³
E_tot   -3.9804 eV per atom
DOS at the Fermi energy   0.0 states/eV per cell